Compound: ZrGePCl2
Source: Alexandria
Functional: PBEsol
Structure: relaxed

Properties
total magnetic moment	1.5	μB/f.u.
excess energy over the best structure of this formula in the dataset	525	meV per atom
ΔE_f (raw)	0.173	eV per atom
total DFT energy (no corrections)	-22.97	eV per cell

Unit cell a=4.6798 b=4.6798 c=4.8890 alpha=90.00 beta=90.00 gamma=90.00
Closest atoms and distances in Å follow each position.
Space group P4/mmm (No. 123)
Inequivalent atoms, fractional coordinates:
Zr: 0.0000 0.0000 0.0000 x1  4 P 3.31, 8 Cl 3.38
Ge: 0.5000 0.5000 0.5000 x1  4 Cl 2.34, 2 P 2.44
P: 0.5000 0.5000 0.0000 x1  2 Ge 2.44
Cl: 0.0000 0.5000 0.5000 x2  2 Ge 2.34